Record 1
Computed, not measured: crystalline CaV2I at its relaxed geometry at the PBE level of DFT.

Calculated values
The total moment is 1.2 μB per formula unit. Its crystal system is tetragonal. The electronic total energy comes out at -4.695 eV per atom. For the relative energy among the computed polymorphs, the calculation gives 0.00 kcal/mol of atoms. For the uncorrected formation energy, the calculation gives 0.752 eV per atom.

abc: 4.358 4.358 10.404
angles: 77.91 77.91 90.00
Last column: magnetic moment on the atom in μB.
Fractional positions:
I: 0.000 0.000 0.000  0.00
I: 0.750 0.250 0.500  0.00
Ca: 0.500 0.500 0.000  0.02
Ca: 0.250 0.750 0.500  0.02
V: 0.785 0.125 0.250  0.50
V: 0.965 0.625 0.250  0.50
V: 0.375 0.215 0.750  0.50
V: 0.875 0.035 0.750  0.50

Record 2
Computed, not measured: crystalline Ag3HgB at its relaxed geometry at the PBE level of DFT.

Calculated values
The total moment is 0.0 μB per formula unit. Its crystal system is cubic. The electronic total energy comes out at -1.524 eV per atom. For the relative energy among the computed polymorphs, the calculation gives 25.77 kcal/mol of atoms.

abc: 5.246 5.246 5.246
angles: 90.00 90.00 90.00
Fractional positions:
B: 0.500 0.500 0.500
Hg: 0.000 0.000 0.000
Ag: 0.000 0.500 0.000
Ag: 0.000 0.000 0.500
Ag: 0.500 0.000 0.000

Record 3
Computed, not measured: crystalline NaSnP2Se8 at its relaxed geometry at the PBE level of DFT.

Calculated values
The total moment is 0.0 μB per formula unit. Its crystal system is trigonal. The electronic total energy comes out at -3.806 eV per atom. For the uncorrected formation energy, the calculation gives -0.138 eV per atom.

abc: 6.218 6.218 10.111
angles: 72.09 72.09 60.00
Fractional positions:
Na: 0.500 0.500 0.500
Sn: 0.000 0.000 0.000
P: 0.249 0.249 0.253
P: 0.751 0.751 0.747
Se: 0.172 0.172 0.484
Se: 0.598 0.319 0.182
Se: 0.828 0.828 0.516
Se: 0.902 0.598 0.182
Se: 0.098 0.402 0.818
Se: 0.319 0.902 0.182
Se: 0.681 0.098 0.818
Se: 0.402 0.681 0.818

Record 4
Computed, not measured: crystalline Al2AgW at its relaxed geometry at the PBE level of DFT.

Calculated values
The total moment is 0.0 μB per formula unit. Its crystal system is cubic. The electronic total energy comes out at -5.583 eV per atom. For the relative energy among the computed polymorphs, the calculation gives 5.29 kcal/mol of atoms.

abc: 4.462 4.462 4.462
angles: 60.00 60.00 60.00
Fractional positions:
Ag: 0.000 0.000 0.000
W: 0.500 0.500 0.500
Al: 0.250 0.250 0.250
Al: 0.750 0.750 0.750

Record 5
Computed, not measured: crystalline PuMnTc at its relaxed geometry at the PBE level of DFT.

Calculated values
The total moment is 1.4 μB per formula unit. Its crystal system is trigonal. The electronic total energy comes out at -11.108 eV per atom. For the relative energy among the computed polymorphs, the calculation gives 3.55 kcal/mol of atoms.

abc: 2.828 4.431 4.431
angles: 120.00 90.00 90.00
Last column: magnetic moment on the atom in μB.
Fractional positions:
Mn: 0.403 0.333 0.667  -2.57
Tc: 0.929 0.000 0.000  -0.53
Pu: 0.668 0.667 0.333  4.58

Record 6
Computed, not measured: crystalline LaSbOs2 at its relaxed geometry at the PBE level of DFT.

Calculated values
The total moment is 0.0 μB per formula unit. Its crystal system is monoclinic. The electronic total energy comes out at -7.297 eV per atom. For the uncorrected formation energy, the calculation gives 0.580 eV per atom.

abc: 5.673 5.673 3.054
angles: 74.57 74.57 112.85
Fractional positions:
La: 0.000 0.500 0.500
Os: 0.000 0.000 0.000
Os: 0.500 0.500 0.000
Sb: 0.500 0.000 0.500